1.
Material: SbTe2NF
Method: DFT, GGA-PBE
State: relaxed

a = 5.877 Å, b = 5.877 Å, c = 3.855 Å
α = 90.00°, β = 90.00°, γ = 90.00°
Sites, in units of the cell vectors:
1 Sb 0.000 0.000 0.000
2 Te 0.000 0.500 0.000
3 Te 0.500 0.000 0.000
4 N 0.000 0.000 0.500
5 F 0.500 0.500 0.500

Calculated values
For the uncorrected formation energy, the calculation gives 0.78 eV per atom. For the density of states at the Fermi level, the calculation gives 7.02 states/eV/f.u. The value obtained for the polymorph energy (0 for the lowest one) is 396.9 meV per atom. The crystal system is tetragonal.

***

2.
Material: SbTeN2F
Method: DFT, GGA-PBE
State: relaxed

a = 4.233 Å, b = 4.233 Å, c = 4.151 Å
α = 90.00°, β = 90.00°, γ = 90.00°
Sites, in units of the cell vectors:
1 Sb 0.000 0.000 0.000
2 Te 0.500 0.500 0.500
3 N 0.000 0.500 0.000
4 N 0.500 0.000 0.000
5 F 0.000 0.000 0.500

Calculated values
For the uncorrected formation energy, the calculation gives 0.59 eV per atom. For the density of states at the Fermi level, the calculation gives 2.00 states/eV/f.u. The value obtained for the polymorph energy (0 for the lowest one) is 0.0 meV per atom. The crystal system is tetragonal.

***

3.
Material: TlSbNF2
Method: DFT, GGA-PBE
State: relaxed

a = 4.512 Å, b = 4.512 Å, c = 4.293 Å
α = 90.00°, β = 90.00°, γ = 90.00°
Sites, in units of the cell vectors:
1 Tl 0.000 0.000 0.000
2 Sb 0.500 0.500 0.500
3 N 0.000 0.000 0.500
4 F 0.000 0.500 0.000
5 F 0.500 0.000 0.000

Calculated values
For the uncorrected formation energy, the calculation gives -0.09 eV per atom. For the density of states at the Fermi level, the calculation gives 2.20 states/eV/f.u. The value obtained for the polymorph energy (0 for the lowest one) is 768.8 meV per atom. The crystal system is tetragonal.

***

4.
Material: TlSbNF2
Method: DFT, GGA-PBE
State: relaxed

a = 4.673 Å, b = 4.673 Å, c = 4.053 Å
α = 90.00°, β = 90.00°, γ = 90.00°
Sites, in units of the cell vectors:
1 Tl 0.000 0.000 0.000
2 Sb 0.500 0.500 0.500
3 N 0.500 0.500 0.000
4 F 0.000 0.500 0.500
5 F 0.500 0.000 0.500

Calculated values
For the uncorrected formation energy, the calculation gives -0.86 eV per atom. For the density of states at the Fermi level, the calculation gives 0.04 states/eV/f.u. The value obtained for the polymorph energy (0 for the lowest one) is 0.0 meV per atom. The crystal system is tetragonal.